# 1
Computed, not measured: an optimized crystal structure of TbSm2Ga at the PBE-GGA level of DFT.

POSCAR file:
```
TbSm2Ga
1.0
-1.8541 1.1932 -4.9254
-4.2290 -2.6800 -2.0135
-4.7536 2.4913 -0.5632
Ga Tb Sm
1 1 2
direct
0.5000 0.5000 0.5000
0.0000 0.0000 0.0000
0.2500 0.2500 0.2500
0.7500 0.7500 0.7500
```

N(E_F)   6.9 states/eV/f.u.
Formation energy from the elements   -0.08 eV/atom
Relative energy among the computed polymorphs   0.180 eV per atom


# 2
Computed, not measured: an optimized crystal structure of Tb2Sm3Ga2 at the PBE-GGA level of DFT.

POSCAR file:
```
Tb2Sm3Ga2
1.0
4.1416 0.0000 0.0000
-2.0708 6.1156 -0.2389
0.0000 -3.1240 8.1155
Sm Ga Tb
3 2 2
direct
0.5000 0.0000 0.0000
0.3833 0.7667 0.5652
0.6167 0.2333 0.4348
0.1771 0.3543 0.2105
0.8229 0.6457 0.7895
0.1522 0.3044 0.8122
0.8478 0.6956 0.1878
```

N(E_F)   6.6 states/eV/f.u.
Formation energy from the elements   -0.30 eV/atom


# 3
Computed, not measured: an optimized crystal structure of Tb3Sm4Ga4 at the PBE-GGA level of DFT.

POSCAR file:
```
Tb3Sm4Ga4
1.0
3.5775 0.0000 0.0000
0.0000 9.0734 0.0000
-1.7888 -4.5367 9.1128
Sm Tb Ga
4 3 4
direct
0.3338 0.5132 0.6677
0.3338 0.1544 0.6677
0.6662 0.8456 0.3323
0.6662 0.4868 0.3323
0.0940 0.0940 0.1880
0.0000 0.5000 0.0000
0.9060 0.9060 0.8120
0.7245 0.2245 0.4490
0.2755 0.7755 0.5510
0.5000 0.2233 0.0000
0.5000 0.7767 0.0000
```

N(E_F)   9.0 states/eV/f.u.
Formation energy from the elements   -0.41 eV/atom


# 4
Computed, not measured: an optimized crystal structure of Tb3SmGa2 at the PBE-GGA level of DFT.

POSCAR file:
```
Tb3SmGa2
1.0
5.0932 0.0000 0.0000
-2.5466 8.8173 -0.6924
0.0000 -4.5932 7.6058
Sm Ga Tb
2 4 6
direct
0.8721 0.7442 0.9332
0.1279 0.2558 0.0668
0.4880 0.9760 0.1254
0.5120 0.0240 0.8746
0.2267 0.4534 0.8401
0.7733 0.5466 0.1599
0.0630 0.1261 0.4092
0.9370 0.8739 0.5908
0.3769 0.7538 0.2644
0.3119 0.6237 0.6195
0.6231 0.2462 0.7356
0.6881 0.3763 0.3805
```

N(E_F)   5.2 states/eV/f.u.
Formation energy from the elements   -0.33 eV/atom
Relative energy among the computed polymorphs   0.087 eV per atom


# 5
Computed, not measured: an optimized crystal structure of Tb5SmGa4 at the PBE-GGA level of DFT.

POSCAR file:
```
Tb5SmGa4
1.0
3.7131 0.0000 0.0000
0.0000 8.7968 0.1211
-1.8565 -1.1496 8.6218
Tb Ga Sm
5 4 1
direct
0.5000 0.5000 0.0000
0.8497 0.2219 0.6994
0.8125 0.6587 0.6250
0.1503 0.7781 0.3006
0.1875 0.3413 0.3750
0.3131 0.9445 0.6262
0.0226 0.2599 0.0451
0.6869 0.0555 0.3738
0.9774 0.7401 0.9549
0.5000 0.0000 0.0000
```

N(E_F)   9.2 states/eV/f.u.
Formation energy from the elements   -0.28 eV/atom


# 6
Computed, not measured: an optimized crystal structure of Tb2SmGa2 at the PBE-GGA level of DFT.

POSCAR file:
```
Tb2SmGa2
1.0
-1.0299 -2.9915 2.0188
3.4165 -3.4349 -3.3470
4.3915 3.2618 3.5854
Ga Tb Sm
2 2 1
direct
0.2946 0.8890 0.5892
0.7054 0.1110 0.4108
0.6376 0.5687 0.2752
0.3624 0.4313 0.7248
0.0000 0.0000 0.0000
```

N(E_F)   5.7 states/eV/f.u.
Formation energy from the elements   -0.38 eV/atom
Relative energy among the computed polymorphs   0.115 eV per atom


# 7
Computed, not measured: an optimized crystal structure of TbSm3Ga3 at the PBE-GGA level of DFT.

POSCAR file:
```
TbSm3Ga3
1.0
4.8273 0.0000 0.0000
0.0000 9.3293 0.0000
0.0000 -4.6646 8.0794
Tb Sm Ga
2 6 6
direct
0.2500 0.6667 0.3333
0.7500 0.3333 0.6667
0.7500 0.7591 0.7409
0.7500 0.2591 0.0183
0.7500 0.9817 0.2409
0.2500 0.2409 0.2591
0.2500 0.0183 0.7591
0.2500 0.7409 0.9817
0.7500 0.4520 0.3942
0.7500 0.6058 0.0577
0.7500 0.9423 0.5480
0.2500 0.0577 0.4520
0.2500 0.3942 0.9423
0.2500 0.5480 0.6058
```

N(E_F)   6.1 states/eV/f.u.
Formation energy from the elements   -0.40 eV/atom


# 8
Computed, not measured: an optimized crystal structure of Tb2Sm8Ga at the PBE-GGA level of DFT.

POSCAR file:
```
Tb2Sm8Ga
1.0
5.5221 0.0000 0.0000
0.0000 7.4922 -0.2294
-2.7610 -3.4748 8.7955
Sm Tb Ga
8 2 1
direct
0.8173 0.8167 0.6346
0.9999 0.2466 0.9998
0.6318 0.8681 0.2636
0.3682 0.1319 0.7364
0.6314 0.3960 0.2629
0.0001 0.7534 0.0002
0.3686 0.6040 0.7371
0.1827 0.1833 0.3654
0.8082 0.3081 0.6164
0.1918 0.6919 0.3836
0.5000 0.0000 0.0000
```

N(E_F)   17.8 states/eV/f.u.
Formation energy from the elements   -0.02 eV/atom


Look up the formation energy from the elements of the third one. -0.41 eV/atom


Look up the formation energy from the elements of the eighth one. -0.02 eV/atom


Among the records above, which one has the lowest N(E_F)? Tb3SmGa2


Among the records above, which one has the lowest formation energy from the elements? Tb3Sm4Ga4